[1]
# Nd2Sm6ErMg | the Alexandria database | PBE | optimized geometry
data_Nd2Sm6ErMg
_cell_length_a 9.741
_cell_length_b 8.764
_cell_length_c 8.764
_cell_angle_alpha 116.48
_cell_angle_beta 94.83
_cell_angle_gamma 94.83
_symmetry_space_group_name_H-M 'P 1'
_symmetry_Int_Tables_number 1
loop_
_symmetry_equiv_pos_as_xyz
'x,y,z'
loop_
_atom_site_label
_atom_site_type_symbol
_atom_site_fract_x
_atom_site_fract_y
_atom_site_fract_z
Nd1 Nd 0.451 0.798 0.703
Nd2 Nd 0.049 0.297 0.202
Nd3 Nd 0.549 0.202 0.297
Nd4 Nd 0.951 0.703 0.798
Sm1 Sm 0.052 0.123 0.753
Sm2 Sm 0.448 0.247 0.877
Sm3 Sm 0.948 0.877 0.247
Sm4 Sm 0.552 0.753 0.123
Sm5 Sm 0.308 0.994 0.427
Sm6 Sm 0.192 0.573 0.006
Sm7 Sm 0.692 0.006 0.573
Sm8 Sm 0.808 0.427 0.994
Sm9 Sm 0.116 0.704 0.500
Sm10 Sm 0.384 0.500 0.296
Sm11 Sm 0.884 0.296 0.500
Sm12 Sm 0.616 0.500 0.704
Er1 Er 0.250 0.984 0.016
Er2 Er 0.750 0.016 0.984
Mg1 Mg 0.250 0.405 0.595
Mg2 Mg 0.750 0.595 0.405
# - V (Å³/f.u.) = 330.5
# - crystal system = monoclinic
# - ΔE_f (meV/atom) = 111
# - SG = C2/c (15)

[2]
# NdSm2ErMg | the Alexandria database | PBE | optimized geometry
data_NdSm2ErMg
_cell_length_a 5.660
_cell_length_b 6.206
_cell_length_c 9.509
_cell_angle_alpha 70.53
_cell_angle_beta 90.00
_cell_angle_gamma 90.00
_symmetry_space_group_name_H-M 'P 1'
_symmetry_Int_Tables_number 1
loop_
_symmetry_equiv_pos_as_xyz
'x,y,z'
loop_
_atom_site_label
_atom_site_type_symbol
_atom_site_fract_x
_atom_site_fract_y
_atom_site_fract_z
Nd1 Nd 0.750 0.353 0.611
Nd2 Nd 0.250 0.647 0.389
Sm1 Sm 0.750 0.748 0.800
Sm2 Sm 0.250 0.252 0.200
Sm3 Sm 0.250 0.016 0.608
Sm4 Sm 0.750 0.984 0.392
Er1 Er 0.250 0.837 0.002
Er2 Er 0.750 0.163 0.998
Mg1 Mg 0.750 0.582 0.191
Mg2 Mg 0.250 0.418 0.809
# - V (Å³/f.u.) = 157.4
# - crystal system = monoclinic
# - ΔE_f (meV/atom) = 18
# - SG = P2_1/m (11)

[3]
# NdSm6Er2Mg | the Alexandria database | PBE | optimized geometry
data_NdSm6Er2Mg
_cell_length_a 8.957
_cell_length_b 9.095
_cell_length_c 9.095
_cell_angle_alpha 118.10
_cell_angle_beta 90.79
_cell_angle_gamma 90.79
_symmetry_space_group_name_H-M 'P 1'
_symmetry_Int_Tables_number 1
loop_
_symmetry_equiv_pos_as_xyz
'x,y,z'
loop_
_atom_site_label
_atom_site_type_symbol
_atom_site_fract_x
_atom_site_fract_y
_atom_site_fract_z
Nd1 Nd 0.250 0.966 0.034
Nd2 Nd 0.750 0.034 0.966
Sm1 Sm 0.052 0.121 0.792
Sm2 Sm 0.448 0.208 0.879
Sm3 Sm 0.948 0.879 0.208
Sm4 Sm 0.552 0.792 0.121
Sm5 Sm 0.302 0.034 0.459
Sm6 Sm 0.198 0.541 0.966
Sm7 Sm 0.698 0.966 0.541
Sm8 Sm 0.802 0.459 0.034
Sm9 Sm 0.092 0.729 0.472
Sm10 Sm 0.408 0.528 0.271
Sm11 Sm 0.908 0.271 0.528
Sm12 Sm 0.592 0.472 0.729
Er1 Er 0.444 0.783 0.679
Er2 Er 0.056 0.321 0.217
Er3 Er 0.556 0.217 0.321
Er4 Er 0.944 0.679 0.783
Mg1 Mg 0.250 0.437 0.563
Mg2 Mg 0.750 0.563 0.437
# - V (Å³/f.u.) = 326.7
# - crystal system = monoclinic
# - ΔE_f (meV/atom) = 119
# - SG = C2/c (15)

[4]
# Nd6SmEr2Mg | the Alexandria database | PBE | optimized geometry
data_Nd6SmEr2Mg
_cell_length_a 9.496
_cell_length_b 8.627
_cell_length_c 8.627
_cell_angle_alpha 105.89
_cell_angle_beta 96.38
_cell_angle_gamma 96.38
_symmetry_space_group_name_H-M 'P 1'
_symmetry_Int_Tables_number 1
loop_
_symmetry_equiv_pos_as_xyz
'x,y,z'
loop_
_atom_site_label
_atom_site_type_symbol
_atom_site_fract_x
_atom_site_fract_y
_atom_site_fract_z
Nd1 Nd 0.075 0.078 0.742
Nd2 Nd 0.425 0.258 0.922
Nd3 Nd 0.925 0.922 0.258
Nd4 Nd 0.575 0.742 0.078
Nd5 Nd 0.329 0.034 0.463
Nd6 Nd 0.171 0.537 0.966
Nd7 Nd 0.671 0.966 0.537
Nd8 Nd 0.829 0.463 0.034
Nd9 Nd 0.096 0.673 0.437
Nd10 Nd 0.404 0.563 0.327
Nd11 Nd 0.904 0.327 0.563
Nd12 Nd 0.596 0.437 0.673
Sm1 Sm 0.250 0.935 0.065
Sm2 Sm 0.750 0.065 0.935
Er1 Er 0.405 0.801 0.732
Er2 Er 0.095 0.268 0.199
Er3 Er 0.595 0.199 0.268
Er4 Er 0.905 0.732 0.801
Mg1 Mg 0.250 0.402 0.598
Mg2 Mg 0.750 0.598 0.402
# - V (Å³/f.u.) = 334.0
# - crystal system = monoclinic
# - ΔE_f (meV/atom) = 107
# - SG = C2/c (15)

[5]
# Nd2Sm4ErMg | the Alexandria database | PBE | optimized geometry
data_Nd2Sm4ErMg
_cell_length_a 5.039
_cell_length_b 5.044
_cell_length_c 11.370
_cell_angle_alpha 63.67
_cell_angle_beta 90.00
_cell_angle_gamma 90.00
_symmetry_space_group_name_H-M 'P 1'
_symmetry_Int_Tables_number 1
loop_
_symmetry_equiv_pos_as_xyz
'x,y,z'
loop_
_atom_site_label
_atom_site_type_symbol
_atom_site_fract_x
_atom_site_fract_y
_atom_site_fract_z
Nd1 Nd 0.000 0.000 0.000
Nd2 Nd 0.500 0.000 0.500
Sm1 Sm 0.000 0.749 0.751
Sm2 Sm 0.000 0.251 0.249
Sm3 Sm 0.500 0.751 0.249
Sm4 Sm 0.500 0.249 0.751
Er1 Er 0.000 0.500 0.500
Mg1 Mg 0.500 0.500 0.000
# - V (Å³/f.u.) = 259.0
# - crystal system = tetragonal
# - ΔE_f (meV/atom) = 16
# - SG = P4/mmm (123)

[6]
# Nd2SmErMg | the Alexandria database | PBE | optimized geometry
data_Nd2SmErMg
_cell_length_a 6.845
_cell_length_b 7.809
_cell_length_c 6.056
_cell_angle_alpha 90.02
_cell_angle_beta 90.00
_cell_angle_gamma 90.00
_symmetry_space_group_name_H-M 'P 1'
_symmetry_Int_Tables_number 1
loop_
_symmetry_equiv_pos_as_xyz
'x,y,z'
loop_
_atom_site_label
_atom_site_type_symbol
_atom_site_fract_x
_atom_site_fract_y
_atom_site_fract_z
Nd1 Nd 0.706 0.708 0.750
Nd2 Nd 0.706 0.292 0.750
Nd3 Nd 0.294 0.708 0.250
Nd4 Nd 0.294 0.292 0.250
Sm1 Sm 0.601 0.000 0.250
Sm2 Sm 0.399 0.000 0.750
Er1 Er 0.168 0.500 0.750
Er2 Er 0.832 0.500 0.250
Mg1 Mg 0.000 0.000 0.000
Mg2 Mg 0.000 0.000 0.500
# - V (Å³/f.u.) = 161.9
# - crystal system = orthorhombic
# - ΔE_f (meV/atom) = 164
# - SG = Pmma (51)

[7]
# SrNdErMg | the Alexandria database | PBE | optimized geometry
data_SrNdErMg
_cell_length_a 5.774
_cell_length_b 5.774
_cell_length_c 5.774
_cell_angle_alpha 60.00
_cell_angle_beta 60.00
_cell_angle_gamma 60.00
_symmetry_space_group_name_H-M 'P 1'
_symmetry_Int_Tables_number 1
loop_
_symmetry_equiv_pos_as_xyz
'x,y,z'
loop_
_atom_site_label
_atom_site_type_symbol
_atom_site_fract_x
_atom_site_fract_y
_atom_site_fract_z
Sr1 Sr 0.750 0.750 0.750
Mg1 Mg 0.000 0.000 0.000
Nd1 Nd 0.250 0.250 0.250
Er1 Er 0.500 0.500 0.500
# - V (Å³/f.u.) = 136.1
# - crystal system = cubic
# - ΔE_f (meV/atom) = 134
# - SG = F-43m (216)

[8]
# Tb3Nd6Er2Mg | the Alexandria database | PBE | optimized geometry
data_Tb3Nd6Er2Mg
_cell_length_a 6.246
_cell_length_b 6.246
_cell_length_c 11.783
_cell_angle_alpha 95.09
_cell_angle_beta 95.09
_cell_angle_gamma 120.03
_symmetry_space_group_name_H-M 'P 1'
_symmetry_Int_Tables_number 1
loop_
_symmetry_equiv_pos_as_xyz
'x,y,z'
loop_
_atom_site_label
_atom_site_type_symbol
_atom_site_fract_x
_atom_site_fract_y
_atom_site_fract_z
Tb1 Tb 0.167 0.833 0.500
Tb2 Tb 0.833 0.167 0.500
Tb3 Tb 0.500 0.500 0.500
Nd1 Nd 0.918 0.586 0.753
Nd2 Nd 0.749 0.749 0.248
Nd3 Nd 0.082 0.414 0.247
Nd4 Nd 0.586 0.918 0.753
Nd5 Nd 0.251 0.251 0.752
Nd6 Nd 0.414 0.082 0.247
Er1 Er 0.334 0.666 0.000
Er2 Er 0.666 0.334 0.000
Mg1 Mg 0.000 0.000 0.000
# - V (Å³/f.u.) = 391.6
# - crystal system = monoclinic
# - ΔE_f (meV/atom) = 23
# - SG = C2/m (12)

[9]
# Tb2NdErMg | the Alexandria database | PBE | optimized geometry
data_Tb2NdErMg
_cell_length_a 5.610
_cell_length_b 6.168
_cell_length_c 9.431
_cell_angle_alpha 70.63
_cell_angle_beta 90.00
_cell_angle_gamma 90.00
_symmetry_space_group_name_H-M 'P 1'
_symmetry_Int_Tables_number 1
loop_
_symmetry_equiv_pos_as_xyz
'x,y,z'
loop_
_atom_site_label
_atom_site_type_symbol
_atom_site_fract_x
_atom_site_fract_y
_atom_site_fract_z
Tb1 Tb 0.750 0.750 0.800
Tb2 Tb 0.250 0.250 0.200
Tb3 Tb 0.250 0.018 0.606
Tb4 Tb 0.750 0.982 0.394
Nd1 Nd 0.750 0.351 0.612
Nd2 Nd 0.250 0.649 0.388
Er1 Er 0.250 0.838 0.001
Er2 Er 0.750 0.162 0.999
Mg1 Mg 0.750 0.577 0.192
Mg2 Mg 0.250 0.423 0.808
# - V (Å³/f.u.) = 153.9
# - crystal system = monoclinic
# - ΔE_f (meV/atom) = 17
# - SG = P2_1/m (11)

[10]
# TbNd2Er4Mg | the Alexandria database | PBE | optimized geometry
data_TbNd2Er4Mg
_cell_length_a 4.954
_cell_length_b 4.965
_cell_length_c 11.273
_cell_angle_alpha 63.83
_cell_angle_beta 90.00
_cell_angle_gamma 90.00
_symmetry_space_group_name_H-M 'P 1'
_symmetry_Int_Tables_number 1
loop_
_symmetry_equiv_pos_as_xyz
'x,y,z'
loop_
_atom_site_label
_atom_site_type_symbol
_atom_site_fract_x
_atom_site_fract_y
_atom_site_fract_z
Tb1 Tb 0.000 0.500 0.500
Nd1 Nd 0.000 0.000 0.000
Nd2 Nd 0.500 0.000 0.500
Er1 Er 0.000 0.749 0.751
Er2 Er 0.000 0.251 0.249
Er3 Er 0.500 0.751 0.249
Er4 Er 0.500 0.249 0.751
Mg1 Mg 0.500 0.500 0.000
# - V (Å³/f.u.) = 248.9
# - crystal system = orthorhombic
# - ΔE_f (meV/atom) = 32
# - SG = Pmmm (47)